Record 1
Na2Nd2F7 | PBE-GGA | relaxed

Unit cell a=7.865 b=7.979 c=5.606 alpha=90.00 beta=90.00 gamma=90.00
Space group Cmmm (No. 65)
Asymmetric unit:
Na (0.000, 0.232, 0.000)
Nd (0.247, 0.000, 0.500)
F (0.000, 0.000, 0.258)
F (0.000, 0.500, 0.000)
F (0.250, 0.250, 0.268)

Results
Formation energy without anion corrections   -3.33 eV per atom


Record 2
La2GaCo3 | PBE-GGA | relaxed

Unit cell a=8.100 b=8.581 c=14.070 alpha=90.00 beta=90.00 gamma=90.00
Space group Fmmm (No. 69)
Asymmetric unit:
La (0.000, 0.249, 0.000)
La (0.250, 0.250, 0.250)
Ga (0.000, 0.000, 0.334)
Co (0.000, 0.000, 0.160)
Co (0.239, 0.000, 0.080)

Results
Polymorph energy (0 for the lowest one)   0.00 eV per formula unit
DFT formation energy   -0.194 eV per atom


Record 3
Tb3TeAs2Rh9 | PBE-GGA | relaxed

Unit cell a=6.2450 b=6.2450 c=9.3130 alpha=90.00 beta=90.00 gamma=120.00
Space group P-3m1 (No. 164)
Asymmetric unit:
Tb (0.0000, 0.0000, 0.0000)
Tb (0.3333, 0.6667, 0.7460)
Te (0.0000, 0.0000, 0.5000)
As (0.3333, 0.6667, 0.1695)
Rh (0.0000, 0.5000, 0.0000)
Rh (0.1434, 0.2868, 0.2749)

Results
Formation energy without anion corrections   -0.45 eV per atom


Record 4
Y2CuGe3Ir4 | PBE-GGA | relaxed

Unit cell a=4.150 b=4.150 c=10.384 alpha=90.00 beta=90.00 gamma=90.00
Space group P-4m2 (No. 115)
Asymmetric unit:
Y (0.000, 0.500, 0.248)
Cu (0.500, 0.500, 0.000)
Ge (0.000, 0.000, 0.000)
Ge (0.000, 0.500, 0.632)
Ir (0.000, 0.000, 0.500)
Ir (0.000, 0.500, 0.865)
Ir (0.500, 0.500, 0.500)

Results
DFT formation energy   -0.679 eV per atom


Record 5
CePmNd2Tl4 | PBE-GGA | relaxed

Unit cell a=5.5160 b=5.5160 c=27.0580 alpha=90.00 beta=90.00 gamma=120.00
Space group R-3m (No. 166, hexagonal axes)
Asymmetric unit:
Ce (0.0000, 0.0000, 0.0000)
Pm (0.0000, 0.0000, 0.5000)
Nd (0.0000, 0.0000, 0.2496)
Tl (0.0000, 0.0000, 0.1252)
Tl (0.0000, 0.0000, 0.3752)

Results
DFT formation energy   -0.338 eV per atom


Record 6
Ru2BrCl | PBE-GGA | relaxed

Unit cell a=3.135 b=4.034 c=5.910 alpha=90.00 beta=98.49 gamma=90.00
Space group P2/m (No. 10)
Asymmetric unit:
Ru (0.196, 0.000, 0.323)
Br (0.000, 0.500, 0.000)
Cl (0.500, 0.500, 0.500)

Results
Polymorph energy (0 for the lowest one)   2.43 eV per formula unit
Formation energy without anion corrections   0.80 eV per atom


Record 7
CaLa2Cu12Ni3 | PBE-GGA | relaxed

Unit cell a=7.9375 b=7.9375 c=19.9477 alpha=90.00 beta=90.00 gamma=120.00
Space group R-3m (No. 166, hexagonal axes)
Asymmetric unit:
Ca (0.0000, 0.0000, 0.0000)
La (0.0000, 0.0000, 0.4053)
Cu (0.0123, 0.5062, 0.8522)
Cu (0.1046, 0.2091, 0.7252)
Ni (0.0000, 0.5000, 0.5000)

Results
DFT formation energy   0.357 eV per atom


Record 8
KCuPb2 | PBE-GGA | relaxed

Unit cell a=7.898 b=4.557 c=7.711 alpha=90.00 beta=110.08 gamma=90.00
Space group Cm (No. 8)
Asymmetric unit:
K (0.000, 0.000, 0.000)
Cu (0.328, 0.500, 0.486)
Pb (0.210, 0.000, 0.633)
Pb (0.451, 0.000, 0.355)

Results
DFT formation energy   -0.028 eV per atom


Number 1: E_tot -0.207 hartree per atom, volume 351.81 Å³/cell. Number 2: E_tot -0.217 hartree per atom, volume 977.93 Å³/cell. Number 3: E_tot -0.243 hartree per atom, volume 314.55 Å³/cell. Number 4: E_tot -0.269 hartree per atom, volume 178.85 Å³/cell. Number 5: E_tot -0.149 hartree per atom, volume 712.99 Å³/cell. Number 6: E_tot -0.174 hartree per atom, volume 73.92 Å³/cell. Number 7: E_tot -0.147 hartree per atom, volume 1088.41 Å³/cell. Number 8: E_tot -0.117 hartree per atom, volume 260.65 Å³/cell.